## Re3TcS (PBE)

Data for crystalline Re3TcS at its relaxed geometry.

Geometry as extended XYZ:
```
5
Lattice="-2.8526 0.0866 -3.2423 -0.5616 -4.2658 0.3802 -3.1944 0.6727 2.8285" Properties=species:S:1:pos:R:3 pbc="T T T"
Re -1.5972 0.3363 1.4142
S 0.0000 0.0000 0.0000
Re -0.2808 -2.1329 0.1901
Tc -3.3043 -1.7533 -0.0168
Re -1.4263 0.0433 -1.6211
```

Calculated values
* raw formation energy: 1.09 eV/atom
* E above lowest polymorph: 0.000 eV per atom